A relaxed AlFeGe2Br crystal. Source: Alexandria via LeMat-Bulk, functional PBE.

Cell lengths 4.451, 4.451, 5.297 Å; angles 90.00, 90.00, 90.00 degrees
Space group P4/mmm (No. 123)
Unique sites:
Al 0.000 0.000 0.000 [1 per cell]
Fe 0.500 0.500 0.500 [1 per cell]
Ge 0.000 0.500 0.500 [2 per cell]
Br 0.500 0.500 0.000 [1 per cell]

Properties
* electronic total energy: -4.25 eV/atom